Record 1
# KYMgF6, relaxed, DFT PBE-GGA
# Formation energy (no corrections) ... -32.3 eV/f.u.
# Magnetization ... 0.000 μB/atom
# Calculated volume ... 15.37 Å³ per atom
data_KYMgF6
_space_group_name_H-M_alt 'I m m a'
_space_group_IT_number 74
_space_group_name_Hall '-I 2b 2'
_cell_length_a 7.1506
_cell_length_b 7.5703
_cell_length_c 10.2236
_cell_angle_alpha 90.00
_cell_angle_beta 90.00
_cell_angle_gamma 90.00
loop_
_atom_site_label
_atom_site_type_symbol
_atom_site_fract_x
_atom_site_fract_y
_atom_site_fract_z
K1 K 0.0000 0.2500 0.0860
Y1 Y 0.0000 0.0000 0.5000
Mg1 Mg 0.2500 0.2500 0.7500
F1 F 0.0000 0.2500 0.3877
F2 F 0.0000 0.2500 0.6682
F3 F 0.2306 0.0569 0.8838

***

Record 2
# KYMg2F, relaxed, DFT PBE-GGA
# Formation energy (no corrections) ... -0.9 eV/f.u.
# Magnetization ... 0.000 μB/atom
# Calculated volume ... 32.25 Å³ per atom
data_KYMg2F
_space_group_name_H-M_alt 'P 4/m m m'
_space_group_IT_number 123
_space_group_name_Hall '-P 4 2'
_cell_length_a 6.0687
_cell_length_b 6.0687
_cell_length_c 4.3789
_cell_angle_alpha 90.00
_cell_angle_beta 90.00
_cell_angle_gamma 90.00
loop_
_atom_site_label
_atom_site_type_symbol
_atom_site_fract_x
_atom_site_fract_y
_atom_site_fract_z
K1 K 0.0000 0.0000 0.0000
Y1 Y 0.5000 0.5000 0.5000
Mg1 Mg 0.0000 0.5000 0.0000
F1 F 0.0000 0.0000 0.5000

***

Record 3
# K2YMgF, relaxed, DFT PBE-GGA
# Formation energy (no corrections) ... 1.8 eV/f.u.
# Magnetization ... 0.406 μB/atom
# Calculated volume ... 68.04 Å³ per atom
data_K2YMgF
_space_group_name_H-M_alt 'P 4/m m m'
_space_group_IT_number 123
_space_group_name_Hall '-P 4 2'
_cell_length_a 7.5111
_cell_length_b 7.5111
_cell_length_c 6.0303
_cell_angle_alpha 90.00
_cell_angle_beta 90.00
_cell_angle_gamma 90.00
loop_
_atom_site_label
_atom_site_type_symbol
_atom_site_fract_x
_atom_site_fract_y
_atom_site_fract_z
K1 K 0.0000 0.5000 0.0000
Y1 Y 0.0000 0.0000 0.0000
Mg1 Mg 0.0000 0.0000 0.5000
F1 F 0.5000 0.5000 0.5000